Record 1
A plane-wave DFT calculation with PBE was carried out for an optimized crystal structure of BrF6.

Cell lengths 9.844, 8.825, 5.123 Å; angles 90.00, 90.00, 90.00 degrees
Sites, in units of the cell vectors:
1 Br 0.128 0.250 0.103
2 Br 0.372 0.750 0.603
3 Br 0.628 0.250 0.397
4 Br 0.872 0.750 0.897
5 F 0.011 0.250 0.829
6 F 0.028 0.104 0.263
7 F 0.028 0.396 0.263
8 F 0.229 0.105 0.943
9 F 0.229 0.395 0.943
10 F 0.245 0.250 0.377
11 F 0.255 0.750 0.877
12 F 0.271 0.605 0.443
13 F 0.271 0.895 0.443
14 F 0.472 0.604 0.763
15 F 0.472 0.896 0.763
16 F 0.489 0.750 0.329
17 F 0.511 0.250 0.671
18 F 0.528 0.104 0.237
19 F 0.528 0.396 0.237
20 F 0.729 0.105 0.557
21 F 0.729 0.395 0.557
22 F 0.745 0.250 0.123
23 F 0.755 0.750 0.623
24 F 0.771 0.605 0.057
25 F 0.771 0.895 0.057
26 F 0.972 0.604 0.737
27 F 0.972 0.896 0.737
28 F 0.989 0.750 0.171

Calculated values
formation energy without anion corrections: -19.3 kcal/mol of atoms
N(E_F): 2.1 states/eV/f.u.
symmetry: Pnma
E: -75.07 eV for the cell shown


Record 2
A plane-wave DFT calculation with PBE was carried out for an optimized crystal structure of Th3AlTc2.

Cell lengths 7.978, 7.978, 7.978 Å; angles 149.78, 146.14, 46.02 degrees
Sites, in units of the cell vectors:
1 Th 0.000 0.000 0.000
2 Th 0.316 0.816 0.500
3 Th 0.684 0.184 0.500
4 Al 0.500 0.500 0.000
5 Tc 0.134 0.634 0.500
6 Tc 0.866 0.366 0.500

Calculated values
N(E_F): 5.1 states/eV/f.u.
symmetry: Immm
E: -47.96 eV for the cell shown
relative energy among the computed polymorphs: 0.0 kJ/mol of atoms